Entry 1:
{
  "formula": "K2B2PtO6",
  "functional": "PBE",
  "state": "optimized geometry",
  "raw_formation_energy_kj_per_mol_atoms": -161.1,
  "magnetic_moment_mub_per_cell": 1.3,
  "sg": "C2/m",
  "lattice": [[6.1228, -2.5225, 0.0000], [6.1228, 2.5225, 0.0000], [-3.3248, 0.0000, 5.5801]],
  "species": ["K", "K", "B", "B", "Pt", "O", "O", "O", "O", "O", "O"],
  "frac_coords": [[0.1998, 0.1998, 0.2114], [0.8002, 0.8002, 0.7886], [0.4910, 0.4910, 0.7302], [0.5090, 0.5090, 0.2698], [0.0000, 0.0000, 0.5000], [0.2060, 0.6695, 0.2469], [0.3305, 0.7940, 0.7531], [0.3762, 0.3762, 0.7008], [0.6238, 0.6238, 0.2992], [0.6695, 0.2060, 0.2469], [0.7940, 0.3305, 0.7531]]
}


Entry 2:
{
  "formula": "KB4Pt3O12",
  "functional": "PBE",
  "state": "optimized geometry",
  "raw_formation_energy_kj_per_mol_atoms": -135.5,
  "magnetic_moment_mub_per_cell": 0.0,
  "sg": "R32",
  "lattice": [[4.8598, 2.8058, 2.7351], [-4.8598, 2.8058, 2.7351], [0.0000, -5.6116, 2.7351]],
  "species": ["K", "B", "B", "B", "B", "Pt", "Pt", "Pt", "O", "O", "O", "O", "O", "O", "O", "O", "O", "O", "O", "O"],
  "frac_coords": [[0.0000, 0.0000, 0.0000], [0.0601, 0.5000, 0.9399], [0.5000, 0.5000, 0.5000], [0.5000, 0.9399, 0.0601], [0.9399, 0.0601, 0.5000], [0.0000, 0.5534, 0.4466], [0.4466, 0.0000, 0.5534], [0.5534, 0.4466, 0.0000], [0.0098, 0.6079, 0.7764], [0.0878, 0.9122, 0.5000], [0.2236, 0.3921, 0.9902], [0.3567, 0.6433, 0.5000], [0.3921, 0.9902, 0.2236], [0.5000, 0.0878, 0.9122], [0.5000, 0.3567, 0.6433], [0.6079, 0.7764, 0.0098], [0.6433, 0.5000, 0.3567], [0.7764, 0.0098, 0.6079], [0.9122, 0.5000, 0.0878], [0.9902, 0.2236, 0.3921]]
}


Entry 3:
{
  "formula": "KBPtO4",
  "functional": "PBE",
  "state": "optimized geometry",
  "raw_formation_energy_kj_per_mol_atoms": -108.4,
  "magnetic_moment_mub_per_cell": 0.0,
  "sg": "Cmcm",
  "lattice": [[3.3223, -4.7531, 0.0000], [3.3223, 4.7531, 0.0000], [0.0000, 0.0000, 6.2338]],
  "species": ["K", "K", "B", "B", "Pt", "Pt", "O", "O", "O", "O", "O", "O", "O", "O"],
  "frac_coords": [[0.0000, 0.0000, 0.0000], [0.0000, 0.0000, 0.5000], [0.3872, 0.6128, 0.7500], [0.6128, 0.3872, 0.2500], [0.3391, 0.6609, 0.2500], [0.6609, 0.3391, 0.7500], [0.2958, 0.7042, 0.5591], [0.2958, 0.7042, 0.9409], [0.3117, 0.3416, 0.7500], [0.3416, 0.3117, 0.2500], [0.6584, 0.6883, 0.7500], [0.6883, 0.6584, 0.2500], [0.7042, 0.2958, 0.0591], [0.7042, 0.2958, 0.4409]]
}


Entry 4:
{
  "formula": "K3PuB2O6",
  "functional": "PBE",
  "state": "optimized geometry",
  "raw_formation_energy_kj_per_mol_atoms": -224.1,
  "magnetic_moment_mub_per_cell": 5.0,
  "sg": "P-3m1",
  "lattice": [[5.6499, 0.0000, 0.0000], [-2.8249, 4.8929, 0.0000], [0.0000, 0.0000, 6.9913]],
  "species": ["K", "K", "K", "Pu", "B", "B", "O", "O", "O", "O", "O", "O"],
  "frac_coords": [[0.0000, 0.0000, 0.0000], [0.3333, 0.6667, 0.7464], [0.6667, 0.3333, 0.2536], [0.0000, 0.0000, 0.5000], [0.3333, 0.6667, 0.2922], [0.6667, 0.3333, 0.7078], [0.1907, 0.3814, 0.2925], [0.1907, 0.8093, 0.2925], [0.3814, 0.1907, 0.7075], [0.6186, 0.8093, 0.2925], [0.8093, 0.1907, 0.7075], [0.8093, 0.6186, 0.7075]]
}


Entry 5:
{
  "formula": "KPuBO5",
  "functional": "PBE",
  "state": "optimized geometry",
  "raw_formation_energy_kj_per_mol_atoms": -216.7,
  "magnetic_moment_mub_per_cell": 4.0,
  "sg": "C2/c",
  "lattice": [[3.4644, -4.4885, 0.0000], [3.4644, 4.4885, 0.0000], [-3.4458, 0.0000, 6.9944]],
  "species": ["K", "K", "Pu", "Pu", "B", "B", "O", "O", "O", "O", "O", "O", "O", "O", "O", "O"],
  "frac_coords": [[0.0926, 0.9074, 0.7500], [0.9074, 0.0926, 0.2500], [0.0000, 0.5000, 0.0000], [0.5000, 0.0000, 0.5000], [0.4423, 0.5577, 0.7500], [0.5577, 0.4423, 0.2500], [0.1823, 0.8177, 0.2500], [0.2673, 0.3482, 0.1316], [0.2869, 0.5981, 0.8755], [0.3482, 0.2673, 0.6316], [0.4019, 0.7131, 0.6245], [0.5981, 0.2869, 0.3755], [0.6518, 0.7327, 0.3684], [0.7131, 0.4019, 0.1245], [0.7327, 0.6518, 0.8684], [0.8177, 0.1823, 0.7500]]
}


Entry 6:
{
  "formula": "KPuB2O6",
  "functional": "PBE",
  "state": "optimized geometry",
  "raw_formation_energy_kj_per_mol_atoms": -218.0,
  "magnetic_moment_mub_per_cell": 6.0,
  "sg": "C2/c",
  "lattice": [[4.8482, -5.0511, 0.0000], [4.8482, 5.0511, 0.0000], [-1.2435, 0.0000, 4.8646]],
  "species": ["K", "K", "Pu", "Pu", "B", "B", "B", "B", "O", "O", "O", "O", "O", "O", "O", "O", "O", "O", "O", "O"],
  "frac_coords": [[0.0850, 0.9150, 0.7500], [0.9150, 0.0850, 0.2500], [0.3080, 0.6920, 0.2500], [0.6920, 0.3080, 0.7500], [0.2014, 0.3542, 0.8337], [0.3542, 0.2014, 0.3337], [0.6458, 0.7986, 0.6663], [0.7986, 0.6458, 0.1663], [0.0065, 0.2801, 0.7354], [0.2137, 0.5742, 0.8604], [0.2783, 0.3423, 0.1515], [0.2801, 0.0065, 0.2354], [0.3423, 0.2783, 0.6515], [0.4258, 0.7863, 0.6396], [0.5742, 0.2137, 0.3604], [0.6577, 0.7217, 0.3485], [0.7199, 0.9935, 0.7646], [0.7217, 0.6577, 0.8485], [0.7863, 0.4258, 0.1396], [0.9935, 0.7199, 0.2646]]
}


Entry 7:
{
  "formula": "K3PuB2O8",
  "functional": "PBE",
  "state": "optimized geometry",
  "raw_formation_energy_kj_per_mol_atoms": -205.3,
  "magnetic_moment_mub_per_cell": 1.0,
  "sg": "P-3m1",
  "lattice": [[5.3265, 0.0000, 0.0000], [-2.6633, 4.6129, 0.0000], [0.0000, 0.0000, 8.0345]],
  "species": ["K", "K", "K", "Pu", "B", "B", "O", "O", "O", "O", "O", "O", "O", "O"],
  "frac_coords": [[0.0000, 0.0000, 0.0000], [0.3333, 0.6667, 0.7842], [0.6667, 0.3333, 0.2158], [0.0000, 0.0000, 0.5000], [0.3333, 0.6667, 0.2791], [0.6667, 0.3333, 0.7209], [0.1800, 0.3600, 0.3519], [0.1800, 0.8200, 0.3519], [0.3333, 0.6667, 0.1084], [0.3600, 0.1800, 0.6481], [0.6400, 0.8200, 0.3519], [0.6667, 0.3333, 0.8916], [0.8200, 0.1800, 0.6481], [0.8200, 0.6400, 0.6481]]
}


Entry 8:
{
  "formula": "KRbBO2",
  "functional": "PBE",
  "state": "optimized geometry",
  "raw_formation_energy_kj_per_mol_atoms": -163.9,
  "magnetic_moment_mub_per_cell": 0.0,
  "sg": "P2/c",
  "lattice": [[7.8840, 0.0000, 0.0000], [0.0000, 5.8543, 0.0000], [-3.7391, 0.0000, 7.2148]],
  "species": ["K", "K", "Rb", "Rb", "B", "B", "O", "O", "O", "O"],
  "frac_coords": [[0.0000, 0.0054, 0.2500], [0.0000, 0.9946, 0.7500], [0.5000, 0.3088, 0.7500], [0.5000, 0.6912, 0.2500], [0.0000, 0.5000, 0.0000], [0.0000, 0.5000, 0.5000], [0.0794, 0.3047, 0.5392], [0.0794, 0.6953, 0.0392], [0.9206, 0.3047, 0.9608], [0.9206, 0.6953, 0.4608]]
}


Entry 9:
{
  "formula": "KRb2BO",
  "functional": "PBE",
  "state": "optimized geometry",
  "raw_formation_energy_kj_per_mol_atoms": 27.2,
  "magnetic_moment_mub_per_cell": 2.3,
  "sg": "P4/mmm",
  "lattice": [[5.5706, 0.0000, 0.0000], [0.0000, 5.5706, 0.0000], [0.0000, 0.0000, 5.2551]],
  "species": ["K", "Rb", "Rb", "B", "O"],
  "frac_coords": [[0.0000, 0.0000, 0.0000], [0.0000, 0.5000, 0.5000], [0.5000, 0.0000, 0.5000], [0.5000, 0.5000, 0.0000], [0.0000, 0.0000, 0.5000]]
}


Entry 10:
{
  "formula": "K2RbBO3",
  "functional": "PBE",
  "state": "optimized geometry",
  "raw_formation_energy_kj_per_mol_atoms": -169.8,
  "magnetic_moment_mub_per_cell": 0.0,
  "sg": "R-3m",
  "lattice": [[3.0778, 1.7770, 7.4593], [-3.0778, 1.7770, 7.4593], [0.0000, -3.5540, 7.4593]],
  "species": ["K", "K", "K", "K", "Rb", "Rb", "B", "B", "O", "O", "O", "O", "O", "O"],
  "frac_coords": [[0.0000, 0.0000, 0.0000], [0.0000, 0.0000, 0.5000], [0.0000, 0.5000, 0.0000], [0.5000, 0.0000, 0.0000], [0.2977, 0.2977, 0.2977], [0.7023, 0.7023, 0.7023], [0.4220, 0.4220, 0.4220], [0.5780, 0.5780, 0.5780], [0.2873, 0.2873, 0.6831], [0.2873, 0.6831, 0.2873], [0.3169, 0.7127, 0.7127], [0.6831, 0.2873, 0.2873], [0.7127, 0.3169, 0.7127], [0.7127, 0.7127, 0.3169]]
}


Entry 11:
{
  "formula": "K3B2RhO6",
  "functional": "PBE",
  "state": "optimized geometry",
  "raw_formation_energy_kj_per_mol_atoms": -167.8,
  "magnetic_moment_mub_per_cell": 0.0,
  "sg": "P-3m1",
  "lattice": [[5.3441, 0.0000, 0.0000], [-2.6721, 4.6281, 0.0000], [0.0000, 0.0000, 6.7182]],
  "species": ["K", "K", "K", "B", "B", "Rh", "O", "O", "O", "O", "O", "O"],
  "frac_coords": [[0.0000, 0.0000, 0.0000], [0.3333, 0.6667, 0.7455], [0.6667, 0.3333, 0.2545], [0.3333, 0.6667, 0.3230], [0.6667, 0.3333, 0.6770], [0.0000, 0.0000, 0.5000], [0.1827, 0.3654, 0.3108], [0.1827, 0.8173, 0.3108], [0.3654, 0.1827, 0.6892], [0.6346, 0.8173, 0.3108], [0.8173, 0.1827, 0.6892], [0.8173, 0.6346, 0.6892]]
}


Entry 12:
{
  "formula": "KBS2O8",
  "functional": "PBE",
  "state": "optimized geometry",
  "raw_formation_energy_kj_per_mol_atoms": -143.4,
  "magnetic_moment_mub_per_cell": 0.1,
  "sg": "C2/m",
  "e_above_lowest_polymorph_mev_per_atom": 188.6,
  "lattice": [[3.9140, -3.1398, 0.0000], [3.9140, 3.1398, 0.0000], [-3.0043, 0.0000, 8.0015]],
  "species": ["K", "B", "S", "S", "O", "O", "O", "O", "O", "O", "O", "O"],
  "frac_coords": [[0.0000, 0.0000, 0.0000], [0.0000, 0.0000, 0.5000], [0.3671, 0.3671, 0.7558], [0.6329, 0.6329, 0.2442], [0.1727, 0.1727, 0.5622], [0.2562, 0.6488, 0.7353], [0.2833, 0.2833, 0.8821], [0.3512, 0.7438, 0.2647], [0.6488, 0.2562, 0.7353], [0.7167, 0.7167, 0.1179], [0.7438, 0.3512, 0.2647], [0.8273, 0.8273, 0.4378]]
}